The following is a GGA-PBE calculation of an optimized crystal structure of SrPu2Zn9, from Alexandria via LeMat-Bulk.

Structure (CIF):
```
data_SrPu2Zn9
_space_group_name_H-M_alt 'P 1'
_space_group_IT_number 1
_space_group_name_Hall 'P 1'
_cell_length_a 9.6531
_cell_length_b 9.6531
_cell_length_c 9.6531
_cell_angle_alpha 31.28
_cell_angle_beta 31.28
_cell_angle_gamma 31.28
loop_
_atom_site_label
_atom_site_type_symbol
_atom_site_fract_x
_atom_site_fract_y
_atom_site_fract_z
Sr1 Sr 0.0000 0.0000 0.0000
Pu1 Pu 0.1564 0.1564 0.1564
Pu2 Pu 0.8436 0.8436 0.8436
Zn1 Zn 0.0804 0.5848 0.5848
Zn2 Zn 0.3364 0.3364 0.3364
Zn3 Zn 0.4152 0.4152 0.9196
Zn4 Zn 0.4152 0.9196 0.4152
Zn5 Zn 0.5000 0.5000 0.5000
Zn6 Zn 0.5848 0.0804 0.5848
Zn7 Zn 0.5848 0.5848 0.0804
Zn8 Zn 0.6636 0.6636 0.6636
Zn9 Zn 0.9196 0.4152 0.4152
```

Summary:
**ΔE_f**: 160 meV per atom
**Space group**: R-3m

***

The following is a GGA-PBE calculation of an optimized crystal structure of Dy2Zn9Pt3, from Alexandria via LeMat-Bulk.

Structure (CIF):
```
data_Dy2Zn9Pt3
_space_group_name_H-M_alt 'P 1'
_space_group_IT_number 1
_space_group_name_Hall 'P 1'
_cell_length_a 7.7318
_cell_length_b 7.7318
_cell_length_c 10.4689
_cell_angle_alpha 112.63
_cell_angle_beta 112.63
_cell_angle_gamma 57.44
loop_
_atom_site_label
_atom_site_type_symbol
_atom_site_fract_x
_atom_site_fract_y
_atom_site_fract_z
Dy1 Dy 0.0973 0.2442 0.2369
Dy2 Dy 0.2442 0.0973 0.7369
Dy3 Dy 0.7558 0.9027 0.2631
Dy4 Dy 0.9027 0.7558 0.7631
Zn1 Zn 0.0486 0.8423 0.0971
Zn2 Zn 0.1577 0.9514 0.4029
Zn3 Zn 0.1962 0.3765 0.5726
Zn4 Zn 0.2364 0.5614 0.2552
Zn5 Zn 0.3211 0.4855 0.9488
Zn6 Zn 0.3483 0.6517 0.7500
Zn7 Zn 0.3765 0.1962 0.0726
Zn8 Zn 0.4386 0.7636 0.2448
Zn9 Zn 0.4855 0.3211 0.4488
Zn10 Zn 0.5145 0.6789 0.5512
Zn11 Zn 0.5614 0.2364 0.7552
Zn12 Zn 0.6235 0.8038 0.9274
Zn13 Zn 0.6517 0.3483 0.2500
Zn14 Zn 0.6789 0.5145 0.0512
Zn15 Zn 0.7636 0.4386 0.7448
Zn16 Zn 0.8038 0.6235 0.4274
Zn17 Zn 0.8423 0.0486 0.5971
Zn18 Zn 0.9514 0.1577 0.9029
Pt1 Pt 0.0000 0.5000 0.0000
Pt2 Pt 0.1262 0.6942 0.4934
Pt3 Pt 0.3058 0.8738 0.0066
Pt4 Pt 0.5000 0.0000 0.5000
Pt5 Pt 0.6942 0.1262 0.9934
Pt6 Pt 0.8738 0.3058 0.5066
```

Summary:
**ΔE_f**: -547 meV per atom
**Space group**: C2/c